# 1
Compound: CaPm2Pr4
Source: the Alexandria database
Functional: GGA-PBE
Structure: optimized geometry

The structure in CIF format:
```
data_CaPm2Pr4
_chemical_formula_sum 'Ca1 Pm2 Pr4'
_space_group_name_H-M_alt 'P 1'
_space_group_IT_number 1
_cell_length_a 3.708
_cell_length_b 3.708
_cell_length_c 21.476
_cell_angle_alpha 85.05
_cell_angle_beta 85.05
_cell_angle_gamma 60.00
loop_
_space_group_symop_operation_xyz
'x,y,z'
loop_
_atom_site_label
_atom_site_fract_x
_atom_site_fract_y
_atom_site_fract_z
_atom_site_occupancy
Ca1 0.000 0.000 0.000 1
Pm1 0.429 0.429 0.712 1
Pm2 0.571 0.571 0.288 1
Pr1 0.143 0.143 0.571 1
Pr2 0.283 0.283 0.151 1
Pr3 0.717 0.717 0.849 1
Pr4 0.857 0.857 0.429 1
```

## Properties
DFT formation energy (meV per atom): 19
E_tot (eV per atom): -4.356

# 2
Compound: CaPm2Pr
Source: the Alexandria database
Functional: GGA-PBE
Structure: optimized geometry

The structure in CIF format:
```
data_CaPm2Pr
_chemical_formula_sum 'Ca1 Pm2 Pr1'
_space_group_name_H-M_alt 'P 1'
_space_group_IT_number 1
_cell_length_a 3.704
_cell_length_b 3.704
_cell_length_c 12.455
_cell_angle_alpha 81.45
_cell_angle_beta 81.45
_cell_angle_gamma 60.00
loop_
_space_group_symop_operation_xyz
'x,y,z'
loop_
_atom_site_label
_atom_site_fract_x
_atom_site_fract_y
_atom_site_fract_z
_atom_site_occupancy
Ca1 0.500 0.500 0.500 1
Pm1 0.747 0.747 0.759 1
Pm2 0.253 0.253 0.241 1
Pr1 0.000 0.000 0.000 1
```

## Properties
DFT formation energy (meV per atom): 45
E_tot (eV per atom): -4.026

# 3
Compound: CaPmPr5
Source: the Alexandria database
Functional: GGA-PBE
Structure: optimized geometry

The structure in CIF format:
```
data_CaPmPr5
_chemical_formula_sum 'Ca1 Pm1 Pr5'
_space_group_name_H-M_alt 'P 1'
_space_group_IT_number 1
_cell_length_a 5.362
_cell_length_b 5.362
_cell_length_c 9.382
_cell_angle_alpha 90.00
_cell_angle_beta 90.00
_cell_angle_gamma 90.00
loop_
_space_group_symop_operation_xyz
'x,y,z'
loop_
_atom_site_label
_atom_site_fract_x
_atom_site_fract_y
_atom_site_fract_z
_atom_site_occupancy
Ca1 0.000 0.000 0.000 1
Pm1 0.000 0.000 0.500 1
Pr1 0.500 0.500 0.000 1
Pr2 0.500 0.000 0.277 1
Pr3 0.000 0.500 0.277 1
Pr4 0.500 0.000 0.723 1
Pr5 0.000 0.500 0.723 1
```

## Properties
DFT formation energy (meV per atom): 303
E_tot (eV per atom): -4.076

# 4
Compound: CaPmPr
Source: the Alexandria database
Functional: GGA-PBE
Structure: optimized geometry

The structure in CIF format:
```
data_CaPmPr
_chemical_formula_sum 'Ca1 Pm1 Pr1'
_space_group_name_H-M_alt 'P 1'
_space_group_IT_number 1
_cell_length_a 3.725
_cell_length_b 3.725
_cell_length_c 9.276
_cell_angle_alpha 90.00
_cell_angle_beta 90.00
_cell_angle_gamma 120.00
loop_
_space_group_symop_operation_xyz
'x,y,z'
loop_
_atom_site_label
_atom_site_fract_x
_atom_site_fract_y
_atom_site_fract_z
_atom_site_occupancy
Pr1 0.333 0.667 0.654 1
Ca1 0.000 0.000 0.002 1
Pm1 0.667 0.333 0.344 1
```

## Properties
DFT formation energy (meV per atom): 35
E_tot (eV per atom): -3.809

# 5
Compound: CaPm4Pr
Source: the Alexandria database
Functional: GGA-PBE
Structure: optimized geometry

The structure in CIF format:
```
data_CaPm4Pr
_chemical_formula_sum 'Ca2 Pm8 Pr2'
_space_group_name_H-M_alt 'P 1'
_space_group_IT_number 1
_cell_length_a 3.672
_cell_length_b 12.272
_cell_length_c 10.475
_cell_angle_alpha 115.24
_cell_angle_beta 90.00
_cell_angle_gamma 90.00
loop_
_space_group_symop_operation_xyz
'x,y,z'
loop_
_atom_site_label
_atom_site_fract_x
_atom_site_fract_y
_atom_site_fract_z
_atom_site_occupancy
Ca1 0.500 0.500 0.500 1
Ca2 0.000 0.000 0.000 1
Pm1 0.501 0.168 0.341 1
Pm2 0.001 0.332 0.159 1
Pm3 0.499 0.832 0.659 1
Pm4 0.999 0.668 0.841 1
Pm5 0.999 0.668 0.329 1
Pm6 0.499 0.832 0.171 1
Pm7 0.001 0.332 0.671 1
Pm8 0.501 0.168 0.829 1
Pr1 0.000 0.000 0.500 1
Pr2 0.500 0.500 0.000 1
```

## Properties
DFT formation energy (meV per atom): 47
E_tot (eV per atom): -4.250

# 6
Compound: CaPm5Pr12
Source: the Alexandria database
Functional: GGA-PBE
Structure: optimized geometry

The structure in CIF format:
```
data_CaPm5Pr12
_chemical_formula_sum 'Ca1 Pm5 Pr12'
_space_group_name_H-M_alt 'P 1'
_space_group_IT_number 1
_cell_length_a 11.815
_cell_length_b 10.728
_cell_length_c 6.127
_cell_angle_alpha 90.24
_cell_angle_beta 90.44
_cell_angle_gamma 56.59
loop_
_space_group_symop_operation_xyz
'x,y,z'
loop_
_atom_site_label
_atom_site_fract_x
_atom_site_fract_y
_atom_site_fract_z
_atom_site_occupancy
Ca1 0.000 0.000 0.000 1
Pm1 0.500 0.000 0.500 1
Pm2 0.173 0.653 0.500 1
Pm3 0.827 0.347 0.500 1
Pm4 0.679 0.642 0.000 1
Pm5 0.321 0.358 0.000 1
Pr1 0.831 0.000 0.481 1
Pr2 0.169 0.000 0.519 1
Pr3 0.651 0.000 0.980 1
Pr4 0.349 0.000 0.020 1
Pr5 0.340 0.678 0.947 1
Pr6 0.982 0.678 0.053 1
Pr7 0.018 0.322 0.947 1
Pr8 0.660 0.322 0.053 1
Pr9 0.512 0.330 0.557 1
Pr10 0.842 0.670 0.557 1
Pr11 0.158 0.330 0.443 1
Pr12 0.488 0.670 0.443 1
```

## Properties
DFT formation energy (meV per atom): 102
E_tot (eV per atom): -4.515